Entry 1:
Density functional theory data (PBE) for a relaxed Y2TcW crystal.

Computed properties:
The calculation puts the formation energy at 62 kJ per mole of atoms. As for the polymorph energy (0 for the lowest one): 0.5678 eV per atom.

The structure in CIF format:
```
data_Y2TcW
_chemical_formula_sum 'Y2 Tc1 W1'
_cell_length_a 5.382
_cell_length_b 5.382
_cell_length_c 3.194
_cell_angle_alpha 90.00
_cell_angle_beta 90.00
_cell_angle_gamma 114.88
_space_group_name_H-M_alt 'P 1'
_space_group_IT_number 1
loop_
_space_group_symop_operation_xyz
'x,y,z'
loop_
_atom_site_label
_atom_site_fract_x
_atom_site_fract_y
_atom_site_fract_z
W1 0.000 0.500 0.500
Tc1 0.500 0.000 0.500
Y1 0.000 0.000 0.000
Y2 0.500 0.500 0.000
```



Entry 2:
Density functional theory data (PBE) for a relaxed CaMn2Be crystal.

Computed properties:
The calculation puts the formation energy at 64 kJ per mole of atoms.

The structure in CIF format:
```
data_CaMn2Be
_chemical_formula_sum 'Ca1 Mn2 Be1'
_cell_length_a 8.270
_cell_length_b 8.270
_cell_length_c 8.270
_cell_angle_alpha 21.89
_cell_angle_beta 21.89
_cell_angle_gamma 21.89
_space_group_name_H-M_alt 'P 1'
_space_group_IT_number 1
loop_
_space_group_symop_operation_xyz
'x,y,z'
loop_
_atom_site_label
_atom_site_fract_x
_atom_site_fract_y
_atom_site_fract_z
Mn1 0.976 0.976 0.976
Mn2 0.524 0.524 0.524
Be1 0.250 0.250 0.250
Ca1 0.750 0.750 0.750
```



Entry 3:
Density functional theory data (PBE) for a relaxed Pm8SmDy6 crystal.

Computed properties:
The calculation puts the formation energy at 12 kJ per mole of atoms. As for the polymorph energy (0 for the lowest one): 0.0000 eV per atom.

The structure in CIF format:
```
data_Pm8SmDy6
_chemical_formula_sum 'Pm8 Sm1 Dy6'
_cell_length_a 9.134
_cell_length_b 9.134
_cell_length_c 8.729
_cell_angle_alpha 58.45
_cell_angle_beta 58.45
_cell_angle_gamma 60.00
_space_group_name_H-M_alt 'P 1'
_space_group_IT_number 1
loop_
_space_group_symop_operation_xyz
'x,y,z'
loop_
_atom_site_label
_atom_site_fract_x
_atom_site_fract_y
_atom_site_fract_z
Dy1 0.901 0.754 0.882
Dy2 0.246 0.538 0.118
Dy3 0.538 0.099 0.118
Dy4 0.462 0.901 0.882
Dy5 0.099 0.246 0.118
Dy6 0.754 0.462 0.882
Pm1 0.888 0.251 0.580
Pm2 0.718 0.112 0.420
Pm3 0.112 0.749 0.420
Pm4 0.423 0.423 0.732
Pm5 0.749 0.718 0.420
Pm6 0.577 0.577 0.268
Pm7 0.282 0.888 0.580
Pm8 0.251 0.282 0.580
Sm1 0.000 0.000 0.000
```



Entry 4:
Density functional theory data (PBE) for a relaxed Ba6NaH12 crystal.

The structure in CIF format:
```
data_Ba6NaH12
_chemical_formula_sum 'Ba6 Na1 H12'
_cell_length_a 7.587
_cell_length_b 7.587
_cell_length_c 7.587
_cell_angle_alpha 99.10
_cell_angle_beta 99.10
_cell_angle_gamma 99.10
_space_group_name_H-M_alt 'P 1'
_space_group_IT_number 1
loop_
_space_group_symop_operation_xyz
'x,y,z'
loop_
_atom_site_label
_atom_site_fract_x
_atom_site_fract_y
_atom_site_fract_z
H1 0.684 0.946 0.071
H2 0.054 0.929 0.316
H3 0.316 0.054 0.929
H4 0.177 0.452 0.588
H5 0.071 0.684 0.946
H6 0.548 0.412 0.823
H7 0.929 0.316 0.054
H8 0.588 0.177 0.452
H9 0.946 0.071 0.684
H10 0.452 0.588 0.177
H11 0.823 0.548 0.412
H12 0.412 0.823 0.548
Ba1 0.862 0.397 0.714
Ba2 0.603 0.286 0.138
Ba3 0.138 0.603 0.286
Ba4 0.286 0.138 0.603
Ba5 0.714 0.862 0.397
Ba6 0.397 0.714 0.862
Na1 0.000 0.000 0.000
```



Entry 5:
Density functional theory data (PBE) for a relaxed TiAlAg crystal.

Computed properties:
The calculation puts the formation energy at -15 kJ per mole of atoms.

The structure in CIF format:
```
data_TiAlAg
_chemical_formula_sum 'Ti2 Al2 Ag2'
_cell_length_a 9.671
_cell_length_b 3.010
_cell_length_c 3.658
_cell_angle_alpha 90.00
_cell_angle_beta 90.00
_cell_angle_gamma 71.86
_space_group_name_H-M_alt 'P 1'
_space_group_IT_number 1
loop_
_space_group_symop_operation_xyz
'x,y,z'
loop_
_atom_site_label
_atom_site_fract_x
_atom_site_fract_y
_atom_site_fract_z
Ag1 0.825 0.289 0.483
Ag2 0.022 0.593 0.983
Al1 0.179 0.935 0.483
Al2 0.667 0.947 0.983
Ti1 0.348 0.266 0.983
Ti2 0.498 0.615 0.483
```



Entry 6:
Density functional theory data (PBE) for a relaxed Ac2EuCu crystal.

Computed properties:
The calculation puts the formation energy at 4 kJ per mole of atoms. As for the polymorph energy (0 for the lowest one): 0.0510 eV per atom.

The structure in CIF format:
```
data_Ac2EuCu
_chemical_formula_sum 'Ac2 Eu1 Cu1'
_cell_length_a 4.050
_cell_length_b 4.050
_cell_length_c 10.854
_cell_angle_alpha 79.25
_cell_angle_beta 79.25
_cell_angle_gamma 60.00
_space_group_name_H-M_alt 'P 1'
_space_group_IT_number 1
loop_
_space_group_symop_operation_xyz
'x,y,z'
loop_
_atom_site_label
_atom_site_fract_x
_atom_site_fract_y
_atom_site_fract_z
Ac1 0.269 0.269 0.192
Ac2 0.731 0.731 0.808
Cu1 0.000 0.000 0.000
Eu1 0.500 0.500 0.500
```



Entry 7:
Density functional theory data (PBE) for a relaxed K3MgBi2 crystal.

Computed properties:
The calculation puts the formation energy at -32 kJ per mole of atoms.

The structure in CIF format:
```
data_K3MgBi2
_chemical_formula_sum 'K6 Mg2 Bi4'
_cell_length_a 8.970
_cell_length_b 7.216
_cell_length_c 9.848
_cell_angle_alpha 111.49
_cell_angle_beta 117.09
_cell_angle_gamma 90.00
_space_group_name_H-M_alt 'P 1'
_space_group_IT_number 1
loop_
_space_group_symop_operation_xyz
'x,y,z'
loop_
_atom_site_label
_atom_site_fract_x
_atom_site_fract_y
_atom_site_fract_z
Bi1 0.901 0.600 0.201
Bi2 0.700 0.900 0.799
Bi3 0.300 0.100 0.201
Bi4 0.099 0.400 0.799
K1 0.002 0.181 0.362
K2 0.500 0.750 0.000
K3 0.998 0.819 0.638
K4 0.361 0.681 0.362
K5 0.639 0.319 0.638
K6 0.500 0.250 0.000
Mg1 0.000 0.250 0.000
Mg2 0.000 0.750 0.000
```



Entry 8:
Density functional theory data (PBE) for a relaxed Fe2IrPt8 crystal.

Computed properties:
The calculation puts the formation energy at -11 kJ per mole of atoms.

The structure in CIF format:
```
data_Fe2IrPt8
_chemical_formula_sum 'Fe2 Ir1 Pt8'
_cell_length_a 3.928
_cell_length_b 6.226
_cell_length_c 7.319
_cell_angle_alpha 105.64
_cell_angle_beta 105.56
_cell_angle_gamma 90.00
_space_group_name_H-M_alt 'P 1'
_space_group_IT_number 1
loop_
_space_group_symop_operation_xyz
'x,y,z'
loop_
_atom_site_label
_atom_site_fract_x
_atom_site_fract_y
_atom_site_fract_z
Pt1 0.953 0.270 0.905
Pt2 0.682 0.913 0.364
Pt3 0.598 0.454 0.195
Pt4 0.143 0.199 0.286
Pt5 0.047 0.730 0.095
Pt6 0.857 0.801 0.714
Pt7 0.402 0.546 0.805
Pt8 0.318 0.087 0.636
Fe1 0.225 0.643 0.450
Fe2 0.775 0.357 0.550
Ir1 0.500 0.000 0.000
```



Summary of electronic total energy in eV per atom
-8.418 -5.355 -4.564 -3.200 -4.989 -5.610 -2.445 -6.849
(order as listed above)
Summary of size of the total moment in μB/atom
0.000 1.652 0.000 0.000 0.000 1.894 0.141 0.744
(order as listed above)